Below is TbPr2SmTe5 after structural relaxation, with properties calculated at the PBE level.

abc: 5.561 5.561 11.743
angles: 90.00 90.00 90.00
Site moments in Bohr magnetons follow the coordinates.
Atoms (fractional coordinates):
Te1 0.500 0.500 0.000  0.01
Te2 0.500 0.000 0.500  0.00
Te3 0.000 0.000 0.248  0.00
Te4 0.000 0.000 0.752  0.00
Te5 0.000 0.500 0.500  0.00
Pr1 0.500 0.500 0.661  0.15
Pr2 0.500 0.500 0.339  0.15
Tb1 0.000 0.000 0.500  0.02
Sm1 0.000 0.000 0.000  0.01

Results
The calculation puts the mass density at 5.62 g/cm3. Its formation energy (no corrections) is -0.839 eV per atom.

***

Below is TbPr2Sm3Te6 after structural relaxation, with properties calculated at the PBE level.

abc: 4.435 8.977 9.966
angles: 102.64 102.86 90.00
Atoms (fractional coordinates):
Tb1 0.500 0.000 0.000
Sm1 0.828 0.166 0.657
Sm2 0.500 0.500 0.000
Sm3 0.172 0.834 0.343
Te1 0.003 0.756 0.005
Te2 0.664 0.587 0.328
Te3 0.997 0.244 0.995
Te4 0.336 0.413 0.672
Te5 0.663 0.076 0.326
Te6 0.337 0.924 0.674
Pr1 0.831 0.664 0.662
Pr2 0.169 0.336 0.338

Results
The calculation puts the mass density at 7.30 g/cm3. Its formation energy (no corrections) is -1.390 eV per atom.

***

Below is TbPr4Sm3Te8 after structural relaxation, with properties calculated at the PBE level.

abc: 8.928 8.993 8.926
angles: 119.74 120.01 90.00
Atoms (fractional coordinates):
Sm1 0.500 0.500 0.000
Sm2 0.000 0.500 0.500
Sm3 0.500 0.500 0.500
Te1 0.250 0.259 0.005
Te2 0.252 0.257 0.505
Te3 0.245 0.741 0.995
Te4 0.245 0.741 0.491
Te5 0.755 0.259 0.005
Te6 0.748 0.743 0.495
Te7 0.750 0.741 0.995
Te8 0.755 0.259 0.509
Pr1 0.500 0.000 0.500
Pr2 0.500 0.000 0.000
Pr3 0.000 0.000 0.500
Pr4 0.000 0.000 0.000
Tb1 0.000 0.500 0.000

Results
The calculation puts the mass density at 7.16 g/cm3. Its formation energy (no corrections) is -1.399 eV per atom.

***

Below is Tb2Pr3SmTe6 after structural relaxation, with properties calculated at the PBE level.

abc: 4.425 9.010 10.004
angles: 103.70 102.78 90.00
Atoms (fractional coordinates):
Tb1 0.834 0.669 0.669
Tb2 0.166 0.331 0.331
Te1 0.670 0.576 0.340
Te2 0.334 0.909 0.667
Te3 0.004 0.247 0.007
Te4 0.666 0.091 0.333
Te5 0.996 0.753 0.993
Te6 0.330 0.424 0.660
Pr1 0.836 0.168 0.671
Pr2 0.500 0.500 0.000
Pr3 0.164 0.832 0.329
Sm1 0.500 0.000 0.000

Results
The calculation puts the mass density at 7.29 g/cm3. Its formation energy (no corrections) is -1.390 eV per atom.

***

Below is TbPr3Sm2Te6 after structural relaxation, with properties calculated at the PBE level.

abc: 4.442 9.025 10.019
angles: 103.36 102.81 90.00
Atoms (fractional coordinates):
Pr1 0.169 0.834 0.338
Pr2 0.500 0.500 0.000
Pr3 0.831 0.166 0.662
Sm1 0.168 0.335 0.336
Sm2 0.832 0.665 0.664
Te1 0.332 0.421 0.665
Te2 0.999 0.758 0.998
Te3 0.337 0.914 0.675
Te4 0.668 0.579 0.335
Te5 0.663 0.086 0.325
Te6 0.001 0.242 0.002
Tb1 0.500 0.000 0.000

Results
The calculation puts the mass density at 7.19 g/cm3. Its formation energy (no corrections) is -1.401 eV per atom.

***

Below is Tb2PrSm5Th after structural relaxation, with properties calculated at the PBE level.

abc: 5.713 10.578 10.549
angles: 90.00 90.00 105.67
Atoms (fractional coordinates):
Sm1 0.388 0.777 0.027
Sm2 0.612 0.223 0.527
Sm3 0.984 0.968 0.523
Sm4 0.295 0.590 0.706
Sm5 0.705 0.410 0.206
Sm6 0.724 0.447 0.816
Sm7 0.522 0.045 0.239
Sm8 0.478 0.955 0.739
Sm9 0.276 0.553 0.316
Sm10 0.016 0.032 0.023
Tb1 0.885 0.769 0.820
Tb2 0.115 0.231 0.320
Tb3 0.886 0.771 0.232
Tb4 0.114 0.229 0.732
Th1 0.800 0.601 0.514
Th2 0.200 0.399 0.014
Pr1 0.411 0.823 0.447
Pr2 0.589 0.177 0.947

Results
The formation enthalpy at 0 K is 0.162 eV per atom. The calculation puts the mass density at 7.81 g/cm3.

***

Below is TbPr6Sm2Th after structural relaxation, with properties calculated at the PBE level.

abc: 10.049 8.924 8.924
angles: 116.83 95.12 95.12
Atoms (fractional coordinates):
Pr1 0.380 0.505 0.300
Pr2 0.945 0.891 0.251
Pr3 0.620 0.495 0.700
Pr4 0.880 0.300 0.505
Pr5 0.555 0.749 0.109
Pr6 0.445 0.251 0.891
Pr7 0.812 0.423 0.988
Pr8 0.055 0.109 0.749
Pr9 0.312 0.988 0.423
Pr10 0.120 0.700 0.495
Pr11 0.688 0.012 0.577
Pr12 0.188 0.577 0.012
Tb1 0.750 0.594 0.406
Tb2 0.250 0.406 0.594
Th1 0.250 0.979 0.021
Th2 0.750 0.021 0.979
Sm1 0.453 0.806 0.716
Sm2 0.953 0.716 0.806
Sm3 0.547 0.194 0.284
Sm4 0.047 0.284 0.194

Results
The formation enthalpy at 0 K is 0.141 eV per atom. The calculation puts the mass density at 7.25 g/cm3.

***

Below is TbPrSmTh after structural relaxation, with properties calculated at the PBE level.

abc: 3.613 3.613 10.292
angles: 90.00 90.00 90.00
Atoms (fractional coordinates):
Th1 0.000 0.000 0.569
Sm1 0.500 0.500 0.809
Pr1 0.000 0.000 0.074
Tb1 0.500 0.500 0.333

Results
The formation enthalpy at 0 K is 0.023 eV per atom. The calculation puts the mass density at 8.43 g/cm3.

***

Below is TbPrSm3Th after structural relaxation, with properties calculated at the PBE level.

abc: 5.710 10.581 7.003
angles: 88.73 90.00 105.65
Atoms (fractional coordinates):
Pr1 0.645 0.290 0.043
Pr2 0.355 0.710 0.957
Tb1 0.648 0.297 0.476
Tb2 0.352 0.703 0.524
Sm1 0.780 0.560 0.751
Sm2 0.480 0.960 0.250
Sm3 0.157 0.315 0.745
Sm4 0.220 0.440 0.249
Sm5 0.520 0.040 0.750
Sm6 0.843 0.685 0.255
Th1 0.056 0.113 0.285
Th2 0.944 0.887 0.715

Results
The formation enthalpy at 0 K is 0.207 eV per atom. The calculation puts the mass density at 8.01 g/cm3.

***

Below is Tb5Pr2SmTh after structural relaxation, with properties calculated at the PBE level.

abc: 5.681 10.495 10.755
angles: 90.00 90.00 105.70
Atoms (fractional coordinates):
Tb1 0.523 0.045 0.237
Tb2 0.281 0.561 0.314
Tb3 0.700 0.400 0.207
Tb4 0.719 0.439 0.814
Tb5 0.477 0.955 0.737
Tb6 0.605 0.211 0.524
Tb7 0.984 0.968 0.526
Tb8 0.395 0.789 0.024
Tb9 0.016 0.032 0.026
Tb10 0.300 0.600 0.707
Pr1 0.885 0.769 0.231
Pr2 0.115 0.231 0.731
Pr3 0.116 0.233 0.322
Pr4 0.884 0.767 0.822
Sm1 0.201 0.402 0.010
Sm2 0.799 0.598 0.510
Th1 0.584 0.167 0.953
Th2 0.416 0.833 0.453

Results
The formation enthalpy at 0 K is 0.164 eV per atom. The calculation puts the mass density at 7.85 g/cm3.

***

Below is Tb2Pr6SmTh after structural relaxation, with properties calculated at the PBE level.

abc: 9.985 8.918 8.918
angles: 116.55 94.89 94.89
Atoms (fractional coordinates):
Pr1 0.879 0.300 0.507
Pr2 0.556 0.754 0.107
Pr3 0.621 0.493 0.700
Pr4 0.944 0.893 0.246
Pr5 0.186 0.577 0.013
Pr6 0.121 0.700 0.493
Pr7 0.686 0.013 0.577
Pr8 0.444 0.246 0.893
Pr9 0.056 0.107 0.754
Pr10 0.314 0.987 0.423
Pr11 0.814 0.423 0.987
Pr12 0.379 0.507 0.300
Th1 0.750 0.025 0.975
Th2 0.250 0.975 0.025
Sm1 0.250 0.406 0.594
Sm2 0.750 0.594 0.406
Tb1 0.951 0.716 0.805
Tb2 0.451 0.805 0.716
Tb3 0.549 0.195 0.284
Tb4 0.049 0.284 0.195

Results
The formation enthalpy at 0 K is 0.140 eV per atom. The calculation puts the mass density at 7.32 g/cm3.

***

Below is Tb2Pr5SmTh after structural relaxation, with properties calculated at the PBE level.

abc: 5.740 10.759 10.668
angles: 90.00 90.00 105.47
Atoms (fractional coordinates):
Sm1 0.407 0.813 0.455
Sm2 0.593 0.187 0.955
Pr1 0.708 0.415 0.204
Pr2 0.292 0.585 0.704
Pr3 0.014 0.029 0.019
Pr4 0.276 0.552 0.314
Pr5 0.481 0.962 0.744
Pr6 0.724 0.448 0.814
Pr7 0.986 0.971 0.519
Pr8 0.385 0.770 0.025
Pr9 0.615 0.230 0.525
Pr10 0.519 0.038 0.244
Th1 0.801 0.603 0.512
Th2 0.199 0.397 0.012
Tb1 0.884 0.768 0.813
Tb2 0.114 0.227 0.737
Tb3 0.886 0.773 0.237
Tb4 0.116 0.232 0.313

Results
The formation enthalpy at 0 K is 0.155 eV per atom. The calculation puts the mass density at 7.35 g/cm3.

***

Below is TbPr5Sm2Th after structural relaxation, with properties calculated at the PBE level.

abc: 5.488 11.380 10.637
angles: 90.00 90.00 103.95
Atoms (fractional coordinates):
Pr1 0.627 0.255 0.508
Pr2 0.002 0.004 0.508
Pr3 0.373 0.745 0.008
Pr4 0.998 0.996 0.008
Pr5 0.723 0.445 0.816
Pr6 0.500 0.000 0.258
Pr7 0.500 0.000 0.758
Pr8 0.277 0.555 0.700
Pr9 0.723 0.445 0.200
Pr10 0.277 0.555 0.316
Sm1 0.887 0.774 0.263
Sm2 0.113 0.226 0.254
Sm3 0.113 0.226 0.763
Sm4 0.887 0.774 0.754
Tb1 0.398 0.796 0.508
Tb2 0.602 0.204 0.008
Th1 0.212 0.424 0.008
Th2 0.788 0.576 0.508

Results
The formation enthalpy at 0 K is 0.136 eV per atom. The calculation puts the mass density at 7.19 g/cm3.

***

Below is Tb3PrSm6Th2 after structural relaxation, with properties calculated at the PBE level.

abc: 6.257 6.257 11.975
angles: 95.01 95.01 119.92
Atoms (fractional coordinates):
Tb1 0.833 0.167 0.500
Tb2 0.500 0.500 0.500
Tb3 0.167 0.833 0.500
Th1 0.667 0.333 0.000
Th2 0.333 0.667 0.000
Sm1 0.916 0.578 0.751
Sm2 0.578 0.916 0.751
Sm3 0.084 0.422 0.249
Sm4 0.255 0.255 0.751
Sm5 0.422 0.084 0.249
Sm6 0.745 0.745 0.249
Pr1 0.000 0.000 0.000

Results
The formation enthalpy at 0 K is 0.039 eV per atom. The calculation puts the mass density at 8.23 g/cm3.

***

Below is Tb2Pr4SmTh after structural relaxation, with properties calculated at the PBE level.

abc: 5.160 5.152 11.561
angles: 63.49 90.00 90.00
Atoms (fractional coordinates):
Pr1 0.500 0.254 0.746
Pr2 0.500 0.746 0.254
Pr3 0.000 0.753 0.747
Pr4 0.000 0.247 0.253
Tb1 0.500 0.000 0.500
Tb2 0.000 0.000 0.000
Sm1 0.500 0.500 0.000
Th1 0.000 0.500 0.500

Results
The formation enthalpy at 0 K is 0.039 eV per atom. The calculation puts the mass density at 7.63 g/cm3.

***

Below is TbPrSmTh after structural relaxation, with properties calculated at the PBE level.

abc: 5.747 5.747 5.747
angles: 60.00 60.00 60.00
Atoms (fractional coordinates):
Tb1 0.750 0.750 0.750
Pr1 0.500 0.500 0.500
Sm1 0.250 0.250 0.250
Th1 0.000 0.000 0.000

Results
The formation enthalpy at 0 K is 0.165 eV per atom. The calculation puts the mass density at 8.44 g/cm3.

***

Below is TbPrSm5Th2 after structural relaxation, with properties calculated at the PBE level.

abc: 8.959 8.959 10.031
angles: 116.52 116.52 90.00
Atoms (fractional coordinates):
Sm1 0.155 0.071 0.726
Sm2 0.571 0.655 0.726
Sm3 0.429 0.345 0.274
Sm4 0.000 0.000 0.000
Sm5 0.845 0.929 0.274
Sm6 0.655 0.155 0.726
Sm7 0.071 0.571 0.726
Sm8 0.500 0.500 0.000
Sm9 0.345 0.845 0.274
Sm10 0.929 0.429 0.274
Th1 0.381 0.881 0.000
Th2 0.619 0.119 0.000
Th3 0.119 0.381 0.000
Th4 0.881 0.619 0.000
Pr1 0.250 0.250 0.500
Pr2 0.750 0.750 0.500
Tb1 0.250 0.750 0.500
Tb2 0.750 0.250 0.500

Results
The formation enthalpy at 0 K is 0.324 eV per atom. The calculation puts the mass density at 8.06 g/cm3.

***

Below is Tb6PrSm3Th2 after structural relaxation, with properties calculated at the PBE level.

abc: 6.242 6.242 11.824
angles: 95.06 95.06 119.96
Atoms (fractional coordinates):
Tb1 0.421 0.083 0.247
Tb2 0.579 0.917 0.753
Tb3 0.083 0.421 0.247
Tb4 0.917 0.579 0.753
Tb5 0.256 0.256 0.753
Tb6 0.744 0.744 0.247
Sm1 0.166 0.834 0.500
Sm2 0.834 0.166 0.500
Sm3 0.500 0.500 0.500
Th1 0.333 0.667 0.000
Th2 0.667 0.333 0.000
Pr1 0.000 0.000 0.000

Results
The formation enthalpy at 0 K is 0.028 eV per atom. The calculation puts the mass density at 8.49 g/cm3.

***

Below is Tb4PrSm2Th after structural relaxation, with properties calculated at the PBE level.

abc: 3.615 6.271 13.193
angles: 61.57 90.00 90.00
Atoms (fractional coordinates):
Th1 0.000 0.500 0.500
Tb1 0.500 0.581 0.255
Tb2 0.000 0.077 0.252
Tb3 0.000 0.923 0.748
Tb4 0.500 0.419 0.745
Sm1 0.000 0.000 0.000
Sm2 0.500 0.000 0.500
Pr1 0.500 0.500 0.000

Results
The formation enthalpy at 0 K is 0.006 eV per atom. The calculation puts the mass density at 8.27 g/cm3.